(1)
SrNdCd2: relaxed, GGA-PBE.

Geometry as CIF:
```
data_SrNdCd2
_chemical_formula_sum 'Sr1 Nd1 Cd2'
_cell_length_a 3.9614
_cell_length_b 3.9614
_cell_length_c 7.8833
_cell_angle_alpha 90.00
_cell_angle_beta 90.00
_cell_angle_gamma 90.00
_space_group_name_H-M_alt 'P 4/m m m'
_space_group_IT_number 123
_space_group_name_Hall '-P 4 2'
loop_
_atom_site_label
_atom_site_type_symbol
_atom_site_fract_x
_atom_site_fract_y
_atom_site_fract_z
_atom_site_occupancy
Sr1 Sr 0.0000 0.0000 0.0000 1
Nd1 Nd 0.0000 0.0000 0.5000 1
Cd1 Cd 0.5000 0.5000 0.2731 1
```

---

(2)
SrNd2Cd4: relaxed, GGA-PBE.

Geometry as CIF:
```
data_SrNd2Cd4
_chemical_formula_sum 'Sr2 Nd4 Cd8'
_cell_length_a 5.3222
_cell_length_b 5.3222
_cell_length_c 16.3103
_cell_angle_alpha 90.00
_cell_angle_beta 90.00
_cell_angle_gamma 90.00
_space_group_name_H-M_alt 'I 4/m m m'
_space_group_IT_number 139
_space_group_name_Hall '-I 4 2'
loop_
_atom_site_label
_atom_site_type_symbol
_atom_site_fract_x
_atom_site_fract_y
_atom_site_fract_z
_atom_site_occupancy
Sr1 Sr 0.0000 0.0000 0.0000 1
Nd1 Nd 0.0000 0.0000 0.2529 1
Cd1 Cd 0.0000 0.5000 0.1303 1
```

---

(3)
# Sr2NdCd GGA-PBE relaxed
data_Sr2NdCd
_chemical_formula_sum 'Sr6 Nd3 Cd3'
_cell_length_a 3.8486
_cell_length_b 3.8486
_cell_length_c 37.8415
_cell_angle_alpha 90.00
_cell_angle_beta 90.00
_cell_angle_gamma 120.00
_space_group_name_H-M_alt 'R -3 m'
_space_group_IT_number 166
_space_group_name_Hall '-R 3 2"'
loop_
_atom_site_label
_atom_site_type_symbol
_atom_site_fract_x
_atom_site_fract_y
_atom_site_fract_z
_atom_site_occupancy
Sr1 Sr 0.0000 0.0000 0.0972 1
Nd1 Nd 0.0000 0.0000 0.0000 1
Cd1 Cd 0.0000 0.0000 0.5000 1
# Excess energy over the best structure of this formula in the dataset   222 meV/atom

---

(4)
# SrNdCd GGA-PBE relaxed
data_SrNdCd
_chemical_formula_sum 'Sr1 Nd1 Cd1'
_cell_length_a 5.5237
_cell_length_b 5.5237
_cell_length_c 3.9990
_cell_angle_alpha 90.00
_cell_angle_beta 90.00
_cell_angle_gamma 120.00
_space_group_name_H-M_alt 'P 3 m 1'
_space_group_IT_number 156
loop_
_space_group_symop_operation_xyz
'x,y,z'
'-y,x-y,z'
'-x+y,-x,z'
'-y,-x,z'
'-x+y,y,z'
'x,x-y,z'
loop_
_atom_site_label
_atom_site_type_symbol
_atom_site_fract_x
_atom_site_fract_y
_atom_site_fract_z
_atom_site_occupancy
Sr1 Sr 0.0000 0.0000 0.0000 1
Nd1 Nd 0.3333 0.6667 0.5459 1
Cd1 Cd 0.6667 0.3333 0.3542 1
# Excess energy over the best structure of this formula in the dataset   146 meV/atom

---

(5)
SrNd3Cd6: relaxed, GGA-PBE.

Geometry as CIF:
```
data_SrNd3Cd6
_chemical_formula_sum 'Sr2 Nd6 Cd12'
_cell_length_a 9.5606
_cell_length_b 5.3368
_cell_length_c 11.5025
_cell_angle_alpha 90.00
_cell_angle_beta 106.16
_cell_angle_gamma 90.00
_space_group_name_H-M_alt 'P 1 21/m 1'
_space_group_IT_number 11
loop_
_space_group_symop_operation_xyz
'x,y,z'
'-x,-y,-z'
'-x,y+1/2,-z'
'x,-y+1/2,z'
loop_
_atom_site_label
_atom_site_type_symbol
_atom_site_fract_x
_atom_site_fract_y
_atom_site_fract_z
_atom_site_occupancy
Sr1 Sr 0.0544 0.2500 0.3908 1
Nd1 Nd 0.2342 0.2500 0.0018 1
Nd2 Nd 0.3556 0.7500 0.7954 1
Nd3 Nd 0.4758 0.2500 0.6130 1
Cd1 Cd 0.0554 0.7500 0.9044 1
Cd2 Cd 0.1443 0.7500 0.1931 1
Cd3 Cd 0.1639 0.2500 0.7028 1
Cd4 Cd 0.2552 0.7500 0.5014 1
Cd5 Cd 0.3407 0.2500 0.2932 1
Cd6 Cd 0.4476 0.7500 0.0901 1
```

---

(6)
# SrNdCd GGA-PBE relaxed
data_SrNdCd
_chemical_formula_sum 'Sr2 Nd2 Cd2'
_cell_length_a 3.9020
_cell_length_b 3.9020
_cell_length_c 14.0038
_cell_angle_alpha 90.00
_cell_angle_beta 90.00
_cell_angle_gamma 90.00
_space_group_name_H-M_alt 'I 4 m m'
_space_group_IT_number 107
_space_group_name_Hall 'I 4 -2'
loop_
_atom_site_label
_atom_site_type_symbol
_atom_site_fract_x
_atom_site_fract_y
_atom_site_fract_z
_atom_site_occupancy
Sr1 Sr 0.0000 0.0000 0.0000 1
Nd1 Nd 0.0000 0.0000 0.2827 1
Cd1 Cd 0.0000 0.0000 0.6569 1
# Excess energy over the best structure of this formula in the dataset   0 meV/atom

---

How do the records compare in DFT formation energy? In the order shown, they have -0.3207, -0.1356, 0.1762, -0.0091, -0.2751, -0.1551 eV/atom.
How do the records compare in volume? In the order shown, they have 123.7, 462.0, 485.4, 105.7, 563.7, 213.2 Å³/cell.